Record 1
## TaCrNi14 (GGA-PBE)

Data for a relaxed structure of TaCrNi14.

Summary:
* space-group type: P4/mmm (123)

The structure in POSCAR format:
```
TaCrNi14
1.0
-1.355 0.861 -4.804
-4.596 -1.903 0.955
-2.288 6.427 1.796
Ta Cr Ni
1 1 14
Cartesian
-6.350 2.301 -2.470
-3.375 2.822 -0.545
-5.207 -0.912 -3.368
-2.231 -0.391 -1.443
-4.052 3.253 -2.947
-2.909 0.039 -3.845
-5.673 1.871 -0.068
-4.529 -1.342 -0.966
-1.999 1.876 -2.416
-3.157 5.128 -1.507
-3.594 0.517 0.417
-4.751 3.769 1.326
-4.260 0.940 -1.946
-5.417 4.192 -1.037
-1.333 1.453 -0.053
-2.491 4.705 0.856
```

Record 2
## Ta2CrNi (GGA-PBE)

Data for a relaxed structure of Ta2CrNi.

Summary:
* space-group type: R-3m (166)

The structure in POSCAR format:
```
Ta2CrNi
1.0
-8.419 -0.634 -2.598
-8.165 -3.141 -1.227
-8.798 -0.759 0.243
Cr Ni Ta
1 1 2
Cartesian
-6.345 -1.134 -0.896
-19.036 -3.401 -2.687
-0.044 -0.008 -0.006
-12.646 -2.259 -1.785
```

What are the energy of formation from the pure elements values for these records? In order: -67; 290 meV per atom.
What are the total moment values for these records? In order: 4.7; 1.6 μB per formula unit.
What are the mass density values for these records? In order: 9.7; 12.7 g/cm3.